1.
Here is a relaxed structure of OsSe2Cl from Alexandria via LeMat-Bulk. Energies are from PBE. Values from VASP.

The structure in Quantum ESPRESSO input format:
```
&SYSTEM
  ibrav = 0, nat = 4, ntyp = 3
/
ATOMIC_SPECIES
Os 190.23 Os.upf
Se 78.96 Se.upf
Cl 35.45 Cl.upf
ATOMIC_POSITIONS crystal
Os 0.0000 0.0000 0.0000
Se 0.1795 0.6795 0.5000
Se 0.8205 0.3205 0.5000
Cl 0.5000 0.5000 0.0000
CELL_PARAMETERS angstrom
-1.4883 2.4043 5.6411
1.4883 -2.4043 5.6411
1.4883 2.4043 -5.6411
```

Summary:
SG ... Immm
V ... 20.186 Å³/atom
Offset from the most stable computed form ... 437.2 meV/atom



2.
Here is a relaxed structure of Ac2Zn4AgPd3 from Alexandria via LeMat-Bulk. Energies are from PBE. Values from VASP.

The structure in Quantum ESPRESSO input format:
```
&SYSTEM
  ibrav = 0, nat = 10, ntyp = 4
/
ATOMIC_SPECIES
Ac 227.00 Ac.upf
Zn 65.41 Zn.upf
Ag 107.87 Ag.upf
Pd 106.42 Pd.upf
ATOMIC_POSITIONS crystal
Ac 0.0000 0.5000 0.2489
Ac 0.5000 0.0000 0.7511
Zn 0.0000 0.0000 0.0000
Zn 0.0000 0.5000 0.6299
Zn 0.5000 0.0000 0.3701
Zn 0.5000 0.5000 0.0000
Ag 0.0000 0.0000 0.5000
Pd 0.0000 0.5000 0.8724
Pd 0.5000 0.0000 0.1276
Pd 0.5000 0.5000 0.5000
CELL_PARAMETERS angstrom
4.4739 0.0000 0.0000
0.0000 4.4739 0.0000
0.0000 0.0000 10.5516
```

Summary:
SG ... P-4m2
Formation energy from the elements ... -0.550 eV/atom
V ... 21.120 Å³/atom



Question: The lowest V belongs to which entry?
Answer: OsSe2Cl